Material: PuCoHgO6
Method: DFT, PBE with a Hubbard U
State: relaxed

```
data_PuCoHgO6
_space_group_name_H-M_alt 'P -3 1 c'
_space_group_IT_number 163
_space_group_name_Hall '-P 3 2c'
_cell_length_a 5.1596
_cell_length_b 5.1596
_cell_length_c 10.2429
_cell_angle_alpha 90.00
_cell_angle_beta 90.00
_cell_angle_gamma 120.00
loop_
_atom_site_label
_atom_site_fract_x
_atom_site_fract_y
_atom_site_fract_z
_atom_site_occupancy
Pu1 0.3333 0.6667 0.2500 1
Co1 0.3333 0.6667 0.7500 1
Hg1 0.0000 0.0000 0.0000 1
O1 0.0140 0.3684 0.6441 1
```

Summary:
total energy = -0.253 hartree per atom